CsZr3W | PBE | relaxed

Output
excess energy over the best structure of this formula in the dataset = 0 kJ/mol of formula units
total DFT energy (no corrections) = -6.852 eV per atom
ΔE_f = 5.193 eV per formula unit

Cell: 5.3189 5.3189 5.3189 Å, 90.00 90.00 90.00°
Closest atoms and distances in Å follow each position.
Positions (direct):
1 Zr 0.5000 0.0000 0.0000  2 W 2.66
2 Zr 0.0000 0.5000 0.0000  2 W 2.66
3 Zr 0.0000 0.0000 0.5000  2 W 2.66
4 W 0.0000 0.0000 0.0000  6 Zr 2.66
5 Cs 0.5000 0.5000 0.5000  12 Zr 3.76

***

YFeIN2 | PBE | relaxed

Output
excess energy over the best structure of this formula in the dataset = 0 kJ/mol of formula units
total DFT energy (no corrections) = -6.024 eV per atom
uncorrected formation energy = 0.601 eV/atom

Cell: 4.0547 4.0547 4.9789 Å, 90.00 90.00 90.00°
Closest atoms and distances in Å follow each position.
Positions (direct):
1 N 0.0000 0.5000 0.0000  2 Fe 2.03
2 N 0.5000 0.0000 0.0000  2 Fe 2.03
3 Y 0.5000 0.5000 0.5000  4 I 2.87, 8 N 3.21
4 Fe 0.0000 0.0000 0.0000  4 N 2.03
5 I 0.0000 0.0000 0.5000  2 Fe 2.49

***

NdSn4 | PBE | relaxed

Output
excess energy over the best structure of this formula in the dataset = 0 kJ/mol of formula units
total DFT energy (no corrections) = -4.518 eV per atom
ΔE_f = -1.810 eV per formula unit

Cell: 4.6873 6.5464 9.9042 Å, 109.30 103.69 90.00°
Closest atoms and distances in Å follow each position.
Positions (direct):
1 Nd 0.0928 0.8428 0.1857  11 Sn 3.27-3.44
2 Nd 0.9072 0.1572 0.8143  11 Sn 3.27-3.44
3 Sn 0.0975 0.3475 0.1950  3 Nd 3.27-3.44, 8 Sn 3.30-3.36
4 Sn 0.3068 0.7944 0.6136  6 Sn 3.11-3.43, 2 Nd 3.43
5 Sn 0.5000 0.5000 0.0000  8 Sn 3.27-3.50, 4 Nd 3.32
6 Sn 0.6932 0.6809 0.3864  6 Sn 3.11-3.43, 2 Nd 3.43
7 Sn 0.5000 0.0000 0.0000  8 Sn 3.27-3.50, 4 Nd 3.32
8 Sn 0.6932 0.2056 0.3864  6 Sn 3.11-3.43, 2 Nd 3.43
9 Sn 0.3068 0.3191 0.6136  6 Sn 3.11-3.43, 2 Nd 3.43
10 Sn 0.9025 0.6525 0.8050  3 Nd 3.27-3.44, 8 Sn 3.30-3.36

***

NaCeHo2 | PBE | relaxed

Output
excess energy over the best structure of this formula in the dataset = 11 kJ/mol of formula units
total DFT energy (no corrections) = -3.916 eV per atom
ΔE_f = 0.746 eV per formula unit

Cell: 3.4509 3.4509 12.5933 Å, 82.12 82.12 60.00°
Closest atoms and distances in Å follow each position.
Positions (direct):
1 Ho 0.0930 0.0930 0.7211  3 Ce 3.40, 6 Ho 3.45, 1 Na 3.47
2 Ho 0.9070 0.9070 0.2789  3 Ce 3.40, 6 Ho 3.45, 1 Na 3.47
3 Na 0.0000 0.0000 0.0000  6 Na 3.45, 2 Ho 3.47
4 Ce 0.5000 0.5000 0.5000  6 Ho 3.40, 6 Ce 3.45

***

Sr3Mg2Hg9 | PBE | relaxed

Output
total DFT energy (no corrections) = -1.155 eV per atom
ΔE_f = -5.216 eV per formula unit

Cell: 4.7073 9.4467 9.4467 Å, 71.86 75.57 75.57°
Closest atoms and distances in Å follow each position.
Positions (direct):
1 Sr 0.0000 0.0000 0.0000  12 Hg 3.55-3.79
2 Sr 0.7080 0.2920 0.2920  10 Hg 3.46-3.83, 2 Mg 3.65
3 Sr 0.2920 0.7080 0.7080  10 Hg 3.46-3.83, 2 Mg 3.65
4 Hg 0.0000 0.5000 0.5000  4 Hg 3.08, 4 Mg 3.11
5 Hg 0.1380 0.5726 0.1514  4 Hg 2.92-3.18, 2 Mg 3.11
6 Hg 0.1380 0.1514 0.5726  4 Hg 2.92-3.18, 2 Mg 3.11
7 Hg 0.6511 0.9830 0.7149  4 Hg 2.92-3.18, 1 Mg 2.99
8 Hg 0.3489 0.0170 0.2851  4 Hg 2.92-3.18, 1 Mg 2.99
9 Hg 0.8620 0.4274 0.8486  4 Hg 2.92-3.18, 2 Mg 3.11
10 Hg 0.6511 0.7149 0.9830  4 Hg 2.92-3.18, 1 Mg 2.99
11 Hg 0.3489 0.2851 0.0170  4 Hg 2.92-3.18, 1 Mg 2.99
12 Hg 0.8620 0.8486 0.4274  4 Hg 2.92-3.18, 2 Mg 3.11
13 Mg 0.5000 0.3163 0.6837  8 Hg 2.99-3.11
14 Mg 0.5000 0.6837 0.3163  8 Hg 2.99-3.11

***

CsLiTlSiBr | PBE | relaxed

Output
excess energy over the best structure of this formula in the dataset = 137 kJ/mol of formula units
total DFT energy (no corrections) = -2.687 eV per atom
uncorrected formation energy = -0.241 eV/atom

Cell: 3.9092 3.9664 21.3790 Å, 90.00 100.37 90.00°
Closest atoms and distances in Å follow each position.
Positions (direct):
1 Cs 0.4199 0.5000 0.7361  4 Br 3.46
2 Cs 0.4199 0.0000 0.2361  4 Br 3.46
3 Br 0.8238 0.0000 0.6388  4 Cs 3.46, 4 Tl 3.61-3.65
4 Br 0.8238 0.5000 0.1388  4 Cs 3.46, 4 Tl 3.61-3.65
5 Tl 0.2056 0.5000 0.5283  2 Si 3.14-3.16, 2 Li 3.35
6 Tl 0.2056 0.0000 0.0283  2 Si 3.14-3.16, 2 Li 3.35
7 Li 0.0836 0.5000 0.9002  4 Si 2.79
8 Li 0.0836 0.0000 0.4002  4 Si 2.79
9 Si 0.5942 0.5000 0.4109  4 Li 2.79
10 Si 0.5942 0.0000 0.9109  4 Li 2.79

***

LiYTlCd | PBE | relaxed

Output
total DFT energy (no corrections) = -3.233 eV per atom
ΔE_f = -1.273 eV per formula unit

Cell: 5.1090 5.1090 5.1090 Å, 60.00 60.00 60.00°
Closest atoms and distances in Å follow each position.
Positions (direct):
1 Li 0.2500 0.2500 0.2500  4 Cd 3.13, 4 Tl 3.13
2 Tl 0.5000 0.5000 0.5000  4 Y 3.13, 4 Li 3.13
3 Y 0.7500 0.7500 0.7500  4 Tl 3.13, 4 Cd 3.13
4 Cd 0.0000 0.0000 0.0000  4 Li 3.13, 4 Y 3.13

***

Tc2PtCl | PBE | relaxed

Output
excess energy over the best structure of this formula in the dataset = 224 kJ/mol of formula units
total DFT energy (no corrections) = -6.455 eV per atom
uncorrected formation energy = 0.700 eV/atom

Cell: 5.2799 5.2799 5.2799 Å, 148.86 126.40 63.30°
Closest atoms and distances in Å follow each position.
Positions (direct):
1 Cl 0.7500 0.2500 0.5000  4 Tc 2.50, 4 Pt 2.77
2 Tc 0.9796 0.9796 0.0000  2 Cl 2.50, 4 Tc 2.79
3 Tc 0.5204 0.5204 0.0000  2 Cl 2.50, 4 Tc 2.79
4 Pt 0.2500 0.7500 0.5000  4 Cl 2.77, 4 Tc 2.81, 2 Pt 2.83